(1)
DFT (PBE-GGA) results for an optimized crystal structure of CsPdN2O.

Cell and atoms, written as CIF:
```
data_CsPdN2O
_chemical_formula_sum 'Cs1 Pd1 N2 O1'
_cell_length_a 3.960
_cell_length_b 3.960
_cell_length_c 5.049
_cell_angle_alpha 90.00
_cell_angle_beta 90.00
_cell_angle_gamma 90.00
_symmetry_space_group_name_H-M 'P 1'
_symmetry_Int_Tables_number 1
loop_
_symmetry_equiv_pos_as_xyz
'x,y,z'
loop_
_atom_site_label
_atom_site_fract_x
_atom_site_fract_y
_atom_site_fract_z
Cs1 0.000 0.000 0.000
Pd1 0.500 0.500 0.500
N1 0.000 0.500 0.500
N2 0.500 0.000 0.500
O1 0.500 0.500 0.000
```

Summary:
- E_form (uncorrected) (kJ/mol of formula units) = 551


(2)
DFT (PBE-GGA) results for an optimized crystal structure of TbCu12Ni6.

Cell and atoms, written as CIF:
```
data_TbCu12Ni6
_chemical_formula_sum 'Tb1 Cu12 Ni6'
_cell_length_a 6.607
_cell_length_b 6.607
_cell_length_c 6.607
_cell_angle_alpha 104.18
_cell_angle_beta 104.18
_cell_angle_gamma 104.18
_symmetry_space_group_name_H-M 'P 1'
_symmetry_Int_Tables_number 1
loop_
_symmetry_equiv_pos_as_xyz
'x,y,z'
loop_
_atom_site_label
_atom_site_fract_x
_atom_site_fract_y
_atom_site_fract_z
Tb1 0.000 0.000 0.000
Cu1 0.112 0.500 0.888
Cu2 0.112 0.888 0.500
Cu3 0.118 0.378 0.378
Cu4 0.378 0.118 0.378
Cu5 0.378 0.378 0.118
Cu6 0.500 0.112 0.888
Cu7 0.500 0.888 0.112
Cu8 0.622 0.622 0.882
Cu9 0.622 0.882 0.622
Cu10 0.882 0.622 0.622
Cu11 0.888 0.112 0.500
Cu12 0.888 0.500 0.112
Ni1 0.296 0.296 0.696
Ni2 0.296 0.696 0.296
Ni3 0.304 0.704 0.704
Ni4 0.696 0.296 0.296
Ni5 0.704 0.304 0.704
Ni6 0.704 0.704 0.304
```

Summary:
- formation energy from the elements (eV per atom) = 0.20


Repeat the first record exactly.
DFT (PBE-GGA) results for an optimized crystal structure of CsPdN2O.

Cell and atoms, written as CIF:
```
data_CsPdN2O
_chemical_formula_sum 'Cs1 Pd1 N2 O1'
_cell_length_a 3.960
_cell_length_b 3.960
_cell_length_c 5.049
_cell_angle_alpha 90.00
_cell_angle_beta 90.00
_cell_angle_gamma 90.00
_symmetry_space_group_name_H-M 'P 1'
_symmetry_Int_Tables_number 1
loop_
_symmetry_equiv_pos_as_xyz
'x,y,z'
loop_
_atom_site_label
_atom_site_fract_x
_atom_site_fract_y
_atom_site_fract_z
Cs1 0.000 0.000 0.000
Pd1 0.500 0.500 0.500
N1 0.000 0.500 0.500
N2 0.500 0.000 0.500
O1 0.500 0.500 0.000
```

Summary:
- E_form (uncorrected) (kJ/mol of formula units) = 551